# 1
This record from Alexandria describes Ba2MnSb4Au3 after structural relaxation. The functional is PBE.

a = 4.889 Å, b = 4.889 Å, c = 11.442 Å
α = 90.00°, β = 90.00°, γ = 90.00°
Element x y z (fractional)
Ba1 0.000 0.500 0.249
Ba2 0.500 0.000 0.751
Mn1 0.000 0.000 0.500
Sb1 0.000 0.000 0.000
Sb2 0.000 0.500 0.626
Sb3 0.500 0.000 0.374
Sb4 0.500 0.500 0.000
Au1 0.000 0.500 0.867
Au2 0.500 0.000 0.133
Au3 0.500 0.500 0.500

Summary:
- Electronic total energy: -0.3283 Ry per atom



# 2
This record from Alexandria describes Ba2SrMnAu after structural relaxation. The functional is PBE.

a = 5.876 Å, b = 5.876 Å, c = 5.092 Å
α = 90.00°, β = 90.00°, γ = 90.00°
Element x y z (fractional)
Ba1 0.000 0.500 0.000
Ba2 0.500 0.000 0.000
Sr1 0.000 0.000 0.500
Mn1 0.500 0.500 0.000
Au1 0.500 0.500 0.500

Summary:
- ΔH_f (0 K): 0.473 eV/atom



Record order is preserved below.
D(E_F): 0.382 1.431 states/eV per atom
Record order is preserved below.
Magnetization: 4.6 0.2 μB per formula unit